w:
DFT (PBE-GGA) results for a relaxed structure of Er3Tm8Sc2.

```
13
Lattice="3.761 -9.673 0.000 3.761 9.673 0.000 0.000 0.000 5.482" Properties=species:S:1:pos:R:3 pbc="T T T"
Er 0.000 0.000 0.000
Er 2.140 0.000 2.741
Er 5.381 0.000 2.741
Tm 3.761 7.052 2.741
Tm 2.172 2.174 0.000
Tm 3.761 3.384 2.741
Tm 2.172 -2.174 0.000
Tm 5.349 2.174 0.000
Tm 3.761 -3.384 2.741
Tm 5.349 -2.174 0.000
Tm 3.761 -7.052 2.741
Sc 3.761 5.007 0.000
Sc 3.761 -5.007 0.000
```

## Properties
The space group is Cmmm (65). The calculation puts the theoretical density at 8091 kg/m³. The calculated volume is 30.677 A^3/atom.

---

x:
DFT (PBE-GGA) results for a relaxed structure of Er3Tm8Sc2.

```
13
Lattice="7.257 -4.484 0.000 7.257 4.484 0.000 -2.159 0.000 6.214" Properties=species:S:1:pos:R:3 pbc="T T T"
Er 0.000 0.000 0.000
Er 6.177 2.948 3.107
Er 6.177 -2.948 3.107
Tm 0.833 0.000 5.562
Tm 3.777 1.626 5.030
Tm 5.365 0.000 1.725
Tm 8.577 1.626 1.184
Tm 3.777 -1.626 5.030
Tm 6.989 0.000 4.490
Tm 8.577 -1.626 1.184
Tm 11.521 0.000 0.652
Sc 2.065 0.000 2.625
Sc 10.289 0.000 3.589
```

## Properties
The space group is C2/m (12). The calculation puts the theoretical density at 7979 kg/m³. The calculated volume is 31.107 A^3/atom.

---

Preferred: x; penalty for the next structure: 0.008 eV/atom.

---

w:
DFT (PBE-GGA) results for a relaxed structure of Er3Tm2Sc3.

```
16
Lattice="4.776 0.000 0.000 0.000 4.858 0.000 0.000 0.000 19.341" Properties=species:S:1:pos:R:3 pbc="T T T"
Er 0.000 0.000 0.000
Er 0.000 2.429 2.369
Er 0.000 2.429 16.972
Er 2.388 0.000 7.302
Er 2.388 0.000 12.039
Er 2.388 2.429 9.670
Tm 0.000 0.000 4.818
Tm 0.000 0.000 14.523
Tm 2.388 2.429 4.853
Tm 2.388 2.429 14.488
Sc 0.000 0.000 9.670
Sc 0.000 2.429 7.272
Sc 0.000 2.429 12.069
Sc 2.388 0.000 2.399
Sc 2.388 0.000 16.942
Sc 2.388 2.429 0.000
```

## Properties
The space group is Immm (71). The calculation puts the theoretical density at 7213 kg/m³. The calculated volume is 28.044 A^3/atom.

---

x:
DFT (PBE-GGA) results for a relaxed structure of Er3Tm2Sc3.

```
16
Lattice="22.803 0.000 0.000 0.000 3.439 0.000 -1.502 0.000 5.717" Properties=species:S:1:pos:R:3 pbc="T T T"
Er 0.000 0.000 0.000
Er 2.111 0.000 2.648
Er 7.789 1.720 3.069
Er 11.402 1.720 0.000
Er 13.513 1.720 2.648
Er 19.190 0.000 3.069
Tm 5.280 0.000 1.396
Tm 4.620 1.720 4.321
Tm 16.682 1.720 1.396
Tm 16.021 0.000 4.321
Sc -0.751 1.720 2.859
Sc 1.384 1.720 5.482
Sc 8.516 0.000 0.235
Sc 10.651 0.000 2.859
Sc 12.786 0.000 5.482
Sc 19.917 1.720 0.235
```

## Properties
The space group is C2/m (12). The calculation puts the theoretical density at 7218 kg/m³. The calculated volume is 28.024 A^3/atom.

---

Preferred: x; penalty for the next structure: 0.022 eV/atom.

---

w:
DFT (PBE-GGA) results for a relaxed structure of Er4TmSc6.

```
11
Lattice="-3.136 3.136 7.916 3.136 -3.136 7.916 3.136 3.136 -7.916" Properties=species:S:1:pos:R:3 pbc="T T T"
Er 1.943 -1.943 5.082
Er 1.193 1.193 2.834
Er -1.943 1.943 5.082
Er 1.943 1.943 10.750
Tm 0.000 0.000 0.000
Sc 3.136 0.000 0.000
Sc 2.051 2.051 -1.858
Sc 1.085 -1.085 9.773
Sc 0.000 3.136 0.000
Sc 1.085 1.085 6.058
Sc -1.085 1.085 9.773
```

## Properties
The space group is I-42m (121). The calculation puts the theoretical density at 5906 kg/m³. The calculated volume is 28.313 A^3/atom.

---

x:
DFT (PBE-GGA) results for a relaxed structure of Er4TmSc6.

```
22
Lattice="2.666 -4.614 0.000 2.666 4.614 0.000 0.000 0.000 24.283" Properties=species:S:1:pos:R:3 pbc="T T T"
Er 2.666 4.607 15.128
Er 2.666 4.607 21.296
Er 2.666 1.536 13.146
Er 2.666 1.536 23.278
Er 2.666 -1.536 1.004
Er 2.666 -1.536 11.137
Er 2.666 -4.607 2.987
Er 2.666 -4.607 9.155
Tm 2.666 1.553 6.071
Tm 2.666 -1.553 18.212
Sc 0.000 0.000 0.000
Sc 0.000 0.000 12.141
Sc 2.666 4.598 18.212
Sc 2.666 1.543 2.517
Sc 2.666 1.543 9.624
Sc 2.666 1.527 16.598
Sc 2.666 1.527 19.826
Sc 2.666 -1.527 4.457
Sc 2.666 -1.527 7.685
Sc 2.666 -1.543 14.659
Sc 2.666 -1.543 21.766
Sc 2.666 -4.598 6.071
```

## Properties
The space group is Cmcm (63). The calculation puts the theoretical density at 6157 kg/m³. The calculated volume is 27.157 A^3/atom.

---

Preferred: x; penalty for the next structure: 0.166 eV/atom.

---

w:
DFT (PBE-GGA) results for a relaxed structure of Er4Tm5Sc.

```
10
Lattice="3.486 0.000 0.000 1.743 9.027 0.000 0.010 2.651 9.406" Properties=species:S:1:pos:R:3 pbc="T T T"
Er 0.872 3.541 2.850
Er 0.880 4.839 7.483
Er 4.359 6.839 1.923
Er 4.367 8.137 6.556
Tm 2.623 10.509 8.463
Tm 2.619 9.181 3.767
Tm 2.614 4.514 0.000
Tm 2.620 2.497 5.639
Tm 2.616 1.169 0.943
Sc 2.619 5.839 4.703
```

## Properties
The space group is P-1 (2). The calculation puts the theoretical density at 8744 kg/m³. The calculated volume is 29.599 A^3/atom.

---

x:
DFT (PBE-GGA) results for a relaxed structure of Er4Tm5Sc.

```
10
Lattice="-5.231 5.231 2.825 5.231 -5.231 2.825 5.231 5.231 -2.825" Properties=species:S:1:pos:R:3 pbc="T T T"
Er 3.372 0.000 0.000
Er 7.089 0.000 0.000
Er 0.000 3.372 0.000
Er 0.000 7.089 0.000
Tm 0.000 0.000 1.287
Tm 3.274 3.274 0.043
Tm 1.956 -1.956 2.868
Tm -1.956 1.956 2.868
Tm 1.956 1.956 2.868
Sc 0.000 0.000 4.281
```

## Properties
The space group is I4mm (107). The calculation puts the theoretical density at 8371 kg/m³. The calculated volume is 30.918 A^3/atom.

---

Preferred: w; penalty for the next structure: 0.210 eV/atom.

---

w:
DFT (PBE-GGA) results for a relaxed structure of Er5TmSc4.

```
10
Lattice="-4.875 4.875 3.046 4.875 -4.875 3.046 4.875 4.875 -3.046" Properties=species:S:1:pos:R:3 pbc="T T T"
Er 0.000 0.000 0.000
Er 3.446 2.506 1.394
Er 2.369 -1.428 4.440
Er 2.506 6.303 1.394
Er 1.428 2.369 4.440
Tm 0.000 0.000 2.797
Sc 3.474 -0.535 1.396
Sc 6.275 0.535 1.396
Sc 0.535 3.474 1.396
Sc -0.535 6.275 1.396
```

## Properties
The space group is I4 (79). The calculation puts the theoretical density at 6797 kg/m³. The calculated volume is 28.952 A^3/atom.

---

x:
DFT (PBE-GGA) results for a relaxed structure of Er5TmSc4.

```
10
Lattice="8.619 -1.714 0.000 8.619 1.714 0.000 -1.049 0.000 9.737" Properties=species:S:1:pos:R:3 pbc="T T T"
Er 0.000 0.000 0.000
Er 4.399 0.000 8.797
Er 5.915 0.000 2.610
Er 10.273 0.000 7.127
Er 11.790 0.000 0.940
Tm -0.524 0.000 4.868
Sc 2.749 0.000 4.022
Sc 6.993 0.000 7.145
Sc 9.196 0.000 2.592
Sc 13.440 0.000 5.714
```

## Properties
The space group is C2/m (12). The calculation puts the theoretical density at 6842 kg/m³. The calculated volume is 28.761 A^3/atom.

---

Preferred: x; penalty for the next structure: 0.187 eV/atom.